NiTePCl2 | Alexandria | PBE | optimized geometry; SG = P4/mmm; distance to the lowest polymorph of the same formula = 0.7756 eV per atom
1.0
5.2853 0.0000 0.0000
0.0000 5.2853 0.0000
0.0000 0.0000 5.1093
P Cl Ni Te
1 2 1 1
Direct
0.0000 0.0000 0.5000
0.5000 0.0000 0.0000
0.0000 0.5000 0.0000
0.5000 0.5000 0.5000
0.0000 0.0000 0.0000

---

TaZnIn2 | Alexandria | PBE | optimized geometry; SG = Pmmm; uncorrected energy = -4.31 eV per atom
1.0
2.9663 0.0000 0.0000
0.0000 5.2926 0.0000
0.0000 0.0000 5.1990
Zn In Ta
1 2 1
Direct
0.0000 0.5000 0.5000
0.5000 0.5000 0.0000
0.0000 0.0000 0.0000
0.5000 0.0000 0.5000

---

LaTa2Mn | Alexandria | PBE | optimized geometry; SG = Cmmm; distance to the lowest polymorph of the same formula = 0.1260 eV per atom
1.0
2.9697 0.0058 0.0000
-1.1498 2.7381 0.0000
0.0000 0.0000 9.6030
La Ta Mn
1 2 1
Direct
0.5000 0.5000 0.2500
0.0000 0.0000 0.9416
0.0000 0.0000 0.5584
0.5000 0.5000 0.7500